# K9W20O60, relaxed, DFT GGA+U
# Final energy, eV/atom: -7.14
data_K9W20O60
_cell_length_a 7.8261
_cell_length_b 13.1436
_cell_length_c 13.1525
_cell_angle_alpha 84.96
_cell_angle_beta 72.70
_cell_angle_gamma 72.72
_space_group_name_H-M_alt 'P -1'
_space_group_IT_number 2
_space_group_name_Hall '-P 1'
loop_
_atom_site_label
_atom_site_type_symbol
_atom_site_fract_x
_atom_site_fract_y
_atom_site_fract_z
_atom_site_occupancy
K1 K 0.0000 0.0000 0.0000 1
K2 K 0.0775 0.6740 0.1718 1
K3 K 0.2492 0.8291 0.6735 1
K4 K 0.2509 0.1715 0.3271 1
K5 K 0.4231 0.3266 0.8277 1
W1 W 0.0000 0.0000 0.5000 1
W2 W 0.0000 0.5000 0.0000 1
W3 W 0.1088 0.2093 0.0763 1
W4 W 0.1114 0.5719 0.7059 1
W5 W 0.1837 0.7068 0.4255 1
W6 W 0.1849 0.9242 0.2086 1
W7 W 0.3182 0.0788 0.7888 1
W8 W 0.3178 0.2920 0.5724 1
W9 W 0.3910 0.4247 0.2927 1
W10 W 0.3940 0.7917 0.9237 1
W11 W 0.5000 0.0000 0.5000 1
W12 W 0.5000 0.5000 0.0000 1
O1 O 0.0018 0.7099 0.7884 1
O2 O 0.0679 0.2933 0.5733 1
O3 O 0.0718 0.0755 0.7936 1
O4 O 0.0761 0.5016 0.8465 1
O5 O 0.0780 0.0006 0.3441 1
O6 O 0.0781 0.3460 0.9971 1
O7 O 0.0777 0.8449 0.5002 1
O8 O 0.1371 0.7900 0.9252 1
O9 O 0.1407 0.0738 0.1438 1
O10 O 0.1405 0.4257 0.2920 1
O11 O 0.1416 0.6469 0.5708 1
O12 O 0.2094 0.4350 0.6459 1
O13 O 0.2112 0.7842 0.2927 1
O14 O 0.2119 0.1432 0.9315 1
O15 O 0.2429 0.0001 0.5003 1
O16 O 0.2504 0.4999 0.0000 1
O17 O 0.2840 0.2140 0.7165 1
O18 O 0.2843 0.8552 0.0744 1
O19 O 0.2861 0.5713 0.3556 1
O20 O 0.3496 0.2126 0.0761 1
O21 O 0.3568 0.3594 0.4269 1
O22 O 0.3570 0.9283 0.8593 1
O23 O 0.3590 0.5738 0.7079 1
O24 O 0.4212 0.9985 0.6604 1
O25 O 0.4220 0.5015 0.1545 1
O26 O 0.4227 0.6542 0.0003 1
O27 O 0.4260 0.1526 0.4958 1
O28 O 0.4349 0.7066 0.4261 1
O29 O 0.4408 0.9220 0.2081 1
O30 O 0.4966 0.2914 0.2150 1